1.
Material: MgMnAl
Method: DFT, SCAN
State: PBEsol geometry

Summary:
Mass density: 3.1 Mg/m³
Energy of formation: 0.1767 eV/atom
Total energy: -10.1502 eV/atom

```
MgMnAl
1.0
0.000 3.055 3.055
3.055 0.000 3.055
3.055 3.055 0.000
Mg Mn Al
1 1 1
Cartesian
0.000 0.000 0.000
1.528 1.528 1.528
3.055 3.055 3.055
```

---

2.
Material: Mg2MnAl
Method: DFT, SCAN
State: PBEsol geometry

Summary:
Mass density: 3.2 Mg/m³
Energy of formation: -0.0970 eV/atom
Total energy: -9.0856 eV/atom

```
Mg2MnAl
1.0
2.955 0.000 0.000
0.000 2.955 0.000
0.000 0.000 7.870
Mg Mn Al
2 1 1
Cartesian
0.000 0.000 0.000
1.478 1.478 2.446
0.000 0.000 4.271
1.478 1.478 5.740
```